(1)
Density functional theory data (PBE-GGA) for a relaxed structure of TaTl3Br8.

```
24
Lattice="-10.142 -1.997 -0.272 0.317 -0.270 -9.820 1.478 -8.214 5.193" Properties=species:S:1:pos:R:3 pbc="T T T"
Tl -5.339 -8.514 -2.645
Tl -1.430 -1.656 -2.212
Tl -0.442 -6.325 -4.759
Tl -6.327 -3.845 -0.098
Tl -1.255 -1.805 -7.617
Tl -5.513 -8.365 2.760
Br -7.038 -6.549 -4.966
Br -4.309 -5.023 -6.719
Br -5.802 -6.923 0.003
Br -7.577 -3.556 -6.858
Br -4.616 -0.909 -0.124
Br 0.750 -4.636 -1.648
Br -1.119 -3.277 -4.865
Br -4.965 -1.920 -5.026
Br 1.291 -7.641 0.252
Br -7.692 -3.457 -3.279
Br 0.635 -4.537 1.945
Br -1.721 -7.233 -1.649
Br -4.424 -4.924 -3.127
Br -9.687 -1.907 -0.260
Br -2.375 -4.142 0.037
Br -1.837 -7.135 1.930
Ta -5.941 -4.227 -4.994
Ta -0.483 -5.876 0.146
```

Output
DFT total energy in eV for the cell shown: -85.34
Crystal system: hexagonal
Energy relative to the elements, uncorrected in eV/atom: -0.8612

***

(2)
Density functional theory data (PBE-GGA) for a relaxed structure of Ta2TlBr.

```
4
Lattice="3.063 0.000 0.000 0.000 5.377 0.000 0.000 0.000 5.088" Properties=species:S:1:pos:R:3 pbc="T T T"
Ta 1.531 2.688 0.000
Ta 0.000 0.000 0.000
Br 0.000 2.688 2.544
Tl 1.531 0.000 2.544
```

Output
DFT total energy in eV for the cell shown: -24.86
Crystal system: orthorhombic
DOS at the Fermi energy in states/eV/f.u.: 4.06
Energy relative to the elements, uncorrected in eV/atom: 0.7216
Energy above the most stable polymorph in this dataset in eV/atom: 0.5291

***

(3)
Density functional theory data (PBE-GGA) for a relaxed structure of Ta2TlBr.

```
4
Lattice="3.118 0.007 0.000 -1.162 2.893 0.000 0.000 0.000 10.550" Properties=species:S:1:pos:R:3 pbc="T T T"
Ta 0.978 1.450 2.207
Ta 0.000 0.000 0.152
Br 0.978 1.450 8.610
Tl 0.000 0.000 4.856
```

Output
DFT total energy in eV for the cell shown: -26.97
Crystal system: orthorhombic
DOS at the Fermi energy in states/eV/f.u.: 2.71
Energy relative to the elements, uncorrected in eV/atom: 0.1925
Energy above the most stable polymorph in this dataset in eV/atom: 0.0000

***

(4)
Density functional theory data (PBE-GGA) for a relaxed structure of Ta2TlBr.

```
4
Lattice="3.438 0.000 0.000 0.000 3.438 0.000 0.000 0.000 8.240" Properties=species:S:1:pos:R:3 pbc="T T T"
Ta 0.000 0.000 0.322
Ta 1.719 1.719 1.623
Br 1.719 1.719 6.821
Tl 0.000 0.000 3.593
```

Output
DFT total energy in eV for the cell shown: -26.43
Crystal system: tetragonal
DOS at the Fermi energy in states/eV/f.u.: 2.30
Energy relative to the elements, uncorrected in eV/atom: 0.3278
Energy above the most stable polymorph in this dataset in eV/atom: 0.1353